# 1
The following is a PBE calculation of an optimized crystal structure of AgH3Rh, from Alexandria via LeMat-Bulk.

```
AgH3Rh
1.0
1.441 -6.493 0.000
1.441 6.493 0.000
0.000 0.000 4.732
H Rh Ag
6 2 2
Cartesian
0.887 2.424 1.183 H
1.995 2.424 1.183 H
0.887 -2.424 3.549 H
1.995 -2.424 3.549 H
0.000 0.000 0.000 H
0.000 0.000 2.366 H
1.441 0.884 1.183 Rh
1.441 -0.884 3.549 Rh
1.441 4.688 1.183 Ag
1.441 -4.688 3.549 Ag
```

Results
Energy relative to the lowest polymorph listed for this composition = 189 meV/atom
Magnetization = 0.00 μB per formula unit
Mass density = 8.0 g cm⁻³
N(E_F) = 2.901 states/eV per cell


# 2
The following is a PBE calculation of an optimized crystal structure of AgH3Rh, from Alexandria via LeMat-Bulk.

```
AgH3Rh
1.0
-2.444 1.383 0.935
-2.080 -0.879 -4.135
-1.086 -5.885 1.797
H Rh Ag
6 2 2
Cartesian
-4.110 -0.406 -3.092 H
-1.500 -4.976 1.689 H
-3.165 -0.007 -1.214 H
-2.444 -5.375 -0.189 H
-2.512 -2.939 0.547 H
-3.097 -2.442 -1.949 H
-3.126 -4.348 1.155 Rh
-2.483 -1.034 -2.558 Rh
-3.230 -1.048 0.506 Ag
-2.379 -4.334 -1.908 Ag
```

Results
Energy relative to the lowest polymorph listed for this composition = 62 meV/atom
Magnetization = 0.00 μB per formula unit
Mass density = 8.3 g cm⁻³
N(E_F) = 2.776 states/eV per cell


# 3
The following is a PBE calculation of an optimized crystal structure of AgH3Rh, from Alexandria via LeMat-Bulk.

```
AgH3Rh
1.0
-5.842 -0.748 1.621
4.924 -1.544 -3.269
1.437 -3.228 3.688
H Rh Ag
6 2 2
Cartesian
-2.562 -2.238 0.807 H
-2.199 -1.330 1.460 H
2.717 -4.189 0.580 H
3.081 -3.281 1.232 H
0.000 0.000 0.000 H
0.718 -1.614 1.844 H
4.238 -2.274 -1.873 Rh
-3.720 -3.246 3.913 Rh
1.188 -2.048 -0.487 Ag
-0.669 -3.471 2.527 Ag
```

Results
Energy relative to the lowest polymorph listed for this composition = 188 meV/atom
Magnetization = 0.00 μB per formula unit
Mass density = 7.9 g cm⁻³
N(E_F) = 2.100 states/eV per cell